Entry 1:
Density functional theory data (PBE) for a geometry-optimized Hf2InCoH structure.

Properties
* energy above the most stable polymorph in this dataset: 191 meV/atom

Geometry as CIF:
```
data_Hf2InCoH
_chemical_formula_sum 'Hf2 In1 Co1 H1'
_cell_length_a 4.159
_cell_length_b 4.159
_cell_length_c 4.432
_cell_angle_alpha 90.00
_cell_angle_beta 90.00
_cell_angle_gamma 90.00
_symmetry_space_group_name_H-M 'P 4/m m m'
_symmetry_Int_Tables_number 123
_symmetry_space_group_name_Hall '-P 4 2'
loop_
_atom_site_label
_atom_site_fract_x
_atom_site_fract_y
_atom_site_fract_z
Hf1 0.000 0.500 0.000
In1 0.000 0.000 0.500
Co1 0.500 0.500 0.500
H1 0.000 0.000 0.000
```


Entry 2:
Density functional theory data (PBE) for a geometry-optimized HfCoHIr2 structure.

Properties
* energy above the most stable polymorph in this dataset: 0 meV/atom

Geometry as CIF:
```
data_HfCoHIr2
_chemical_formula_sum 'Hf1 Co1 H1 Ir2'
_cell_length_a 3.976
_cell_length_b 3.976
_cell_length_c 3.859
_cell_angle_alpha 90.00
_cell_angle_beta 90.00
_cell_angle_gamma 90.00
_symmetry_space_group_name_H-M 'P 4/m m m'
_symmetry_Int_Tables_number 123
_symmetry_space_group_name_Hall '-P 4 2'
loop_
_atom_site_label
_atom_site_fract_x
_atom_site_fract_y
_atom_site_fract_z
Hf1 0.000 0.000 0.000
Co1 0.500 0.500 0.000
H1 0.500 0.500 0.500
Ir1 0.000 0.500 0.500
```


Entry 3:
Density functional theory data (PBE) for a geometry-optimized HfCoHIr2 structure.

Properties
* energy above the most stable polymorph in this dataset: 120 meV/atom

Geometry as CIF:
```
data_HfCoHIr2
_chemical_formula_sum 'Hf1 Co1 H1 Ir2'
_cell_length_a 3.898
_cell_length_b 3.898
_cell_length_c 4.059
_cell_angle_alpha 90.00
_cell_angle_beta 90.00
_cell_angle_gamma 90.00
_symmetry_space_group_name_H-M 'P 4/m m m'
_symmetry_Int_Tables_number 123
_symmetry_space_group_name_Hall '-P 4 2'
loop_
_atom_site_label
_atom_site_fract_x
_atom_site_fract_y
_atom_site_fract_z
Hf1 0.000 0.000 0.000
Co1 0.500 0.500 0.000
H1 0.000 0.000 0.500
Ir1 0.000 0.500 0.500
```


Entry 4:
Density functional theory data (PBE) for a geometry-optimized LaHfCo2H8 structure.

Properties
* raw total energy: -4.87 eV per atom

Geometry as CIF:
```
data_LaHfCo2H8
_chemical_formula_sum 'La3 Hf3 Co6 H24'
_cell_length_a 4.5107
_cell_length_b 4.5107
_cell_length_c 18.3544
_cell_angle_alpha 90.00
_cell_angle_beta 90.00
_cell_angle_gamma 120.00
_symmetry_space_group_name_H-M 'R -3'
_symmetry_Int_Tables_number 148
_symmetry_space_group_name_Hall '-R 3'
loop_
_atom_site_label
_atom_site_fract_x
_atom_site_fract_y
_atom_site_fract_z
La1 0.0000 0.0000 0.0000
Hf1 0.0000 0.0000 0.5000
Co1 0.0000 0.0000 0.2265
H1 0.0000 0.0000 0.3105
H2 0.0184 0.7234 0.8932
```